The following is a GGA-PBE calculation of crystalline TbNdDy4 at its relaxed geometry, from the Alexandria database.

a = 6.544 Å, b = 8.661 Å, c = 8.633 Å
α = 111.63°, β = 101.71°, γ = 110.54°
Element x y z (fractional)
1 Nd 0.739 0.989 0.979
2 Nd 0.261 0.011 0.021
3 Dy 0.066 0.178 0.753
4 Dy 0.658 0.113 0.403
5 Dy 0.186 0.575 0.753
6 Dy 0.244 0.290 0.403
7 Dy 0.934 0.822 0.247
8 Dy 0.814 0.425 0.247
9 Dy 0.342 0.887 0.597
10 Dy 0.756 0.710 0.597
11 Tb 0.664 0.414 0.828
12 Tb 0.336 0.586 0.172

Output
Calculated volume in Å³ per atom: 32.8
Total moment in μB per formula unit: 0.0
ΔH_f (0 K) in eV per formula unit: 0.94
Space-group type: C2/c, No. 15
Offset from the most stable computed form in kJ/mol of atoms: 13.3